1.
Compound: TlCr2S4
Source: Alexandria via LeMat-Bulk
Functional: PBE-GGA
Structure: relaxed

Structure (POSCAR):
```
TlCr2S4
1.0
3.483 0.000 0.000
0.000 5.898 -0.179
0.000 0.065 7.634
Tl Cr S
1 2 4
direct
0.000 0.000 0.500 Tl
0.500 0.500 0.000 Cr
0.000 0.000 0.000 Cr
0.000 0.668 0.172 S
0.500 0.169 0.173 S
0.500 0.831 0.827 S
0.000 0.332 0.828 S
```

Output
Its density of states at the Fermi level is 0.72 states/eV/atom. For the energy relative to the elements, uncorrected, the calculation gives -0.60 eV per atom. Its crystal system is monoclinic.

---

2.
Compound: HoZn3Ag2
Source: Alexandria via LeMat-Bulk
Functional: PBE-GGA
Structure: relaxed

Structure (POSCAR):
```
HoZn3Ag2
1.0
4.489 0.000 0.000
-2.244 3.887 0.000
0.000 0.000 12.617
Ho Zn Ag
2 6 4
direct
0.000 0.000 0.250 Ho
0.000 0.000 0.750 Ho
0.000 0.000 0.500 Zn
0.000 0.000 0.000 Zn
0.667 0.333 0.637 Zn
0.333 0.667 0.137 Zn
0.667 0.333 0.863 Zn
0.333 0.667 0.363 Zn
0.667 0.333 0.418 Ag
0.333 0.667 0.582 Ag
0.333 0.667 0.918 Ag
0.667 0.333 0.082 Ag
```

Output
The calculation puts the energy of formation from the pure elements at -208 meV/atom. Its density of states at the Fermi level is 0.30 states/eV/atom. Its crystal system is hexagonal.

---

3.
Compound: Hf2VS4
Source: Alexandria via LeMat-Bulk
Functional: PBE-GGA
Structure: relaxed

Structure (POSCAR):
```
Hf2VS4
1.0
-3.239 -1.940 2.391
2.451 -3.725 0.299
2.318 -0.607 6.826
S Hf V
4 2 1
direct
0.187 0.187 0.626 S
0.813 0.813 0.374 S
0.000 0.500 0.000 S
0.500 0.000 0.000 S
0.379 0.379 0.242 Hf
0.621 0.621 0.758 Hf
0.000 0.000 0.000 V
```

Output
Its density of states at the Fermi level is 0.82 states/eV/atom. For the energy relative to the elements, uncorrected, the calculation gives -0.62 eV per atom. Its crystal system is tetragonal.

---

4.
Compound: LaScNi2P2
Source: Alexandria via LeMat-Bulk
Functional: PBE-GGA
Structure: relaxed

Structure (POSCAR):
```
LaScNi2P2
1.0
-1.705 0.858 3.432
-0.327 -3.612 -1.506
6.303 -2.095 3.655
La Sc Ni P
1 1 2 2
direct
0.000 0.000 0.000 La
0.000 0.000 0.500 Sc
0.667 0.333 0.282 Ni
0.333 0.667 0.718 Ni
0.667 0.333 0.723 P
0.333 0.667 0.277 P
```

Output
The calculation puts the energy of formation from the pure elements at -1163 meV/atom. Its density of states at the Fermi level is 0.41 states/eV/atom. Its crystal system is trigonal.

---

5.
Compound: ScUTe2N
Source: Alexandria via LeMat-Bulk
Functional: PBE-GGA
Structure: relaxed

Structure (POSCAR):
```
ScUTe2N
1.0
3.980 0.000 0.000
0.000 3.980 0.000
0.000 0.000 14.440
Sc U Te N
2 2 4 2
direct
0.500 0.000 0.088 Sc
0.000 0.500 0.912 Sc
0.500 0.000 0.577 U
0.000 0.500 0.423 U
0.000 0.500 0.699 Te
0.000 0.500 0.117 Te
0.500 0.000 0.883 Te
0.500 0.000 0.301 Te
0.000 0.000 0.500 N
0.500 0.500 0.500 N
```

Output
Its density of states at the Fermi level is 1.35 states/eV/atom. For the energy relative to the elements, uncorrected, the calculation gives -1.24 eV per atom. Its crystal system is tetragonal.

---

6.
Compound: AlZnHg2Pd
Source: Alexandria via LeMat-Bulk
Functional: PBE-GGA
Structure: relaxed

Structure (POSCAR):
```
AlZnHg2Pd
1.0
5.261 0.000 0.000
0.000 4.801 0.000
0.000 0.000 5.261
Zn Hg Pd Al
1 2 1 1
direct
0.000 0.500 0.000 Zn
0.000 0.000 0.500 Hg
0.500 0.000 0.000 Hg
0.000 0.000 0.000 Pd
0.500 0.500 0.500 Al
```

Output
The calculation puts the energy of formation from the pure elements at 287 meV/atom. Its density of states at the Fermi level is 0.47 states/eV/atom. Its crystal system is tetragonal.

---

7.
Compound: Sr2FeMoAu
Source: Alexandria via LeMat-Bulk
Functional: PBE-GGA
Structure: relaxed

Structure (POSCAR):
```
Sr2FeMoAu
1.0
-4.530 -1.528 -3.354
1.070 -4.194 0.466
-3.395 -0.339 4.740
Sr Mo Au Fe
2 1 1 1
direct
0.000 0.000 0.500 Sr
0.500 0.000 0.000 Sr
0.000 0.500 0.000 Mo
0.500 0.500 0.500 Au
0.000 0.000 0.000 Fe
```

Output
The calculation puts the energy of formation from the pure elements at 592 meV/atom. Its density of states at the Fermi level is 1.09 states/eV/atom. Its crystal system is tetragonal.

---

8.
Compound: NaTmPd2
Source: Alexandria via LeMat-Bulk
Functional: PBE-GGA
Structure: relaxed

Structure (POSCAR):
```
NaTmPd2
1.0
-0.351 2.249 -2.628
-1.123 -1.108 -3.098
-8.407 1.874 0.428
Na Tm Pd
1 1 2
direct
0.500 0.500 0.500 Na
0.000 0.000 0.000 Tm
0.743 0.743 0.771 Pd
0.257 0.257 0.229 Pd
```

Output
The calculation puts the energy of formation from the pure elements at -365 meV/atom. Its density of states at the Fermi level is 0.64 states/eV/atom. Its crystal system is trigonal.

---

9.
Compound: AsC2
Source: Alexandria via LeMat-Bulk
Functional: PBE-GGA
Structure: relaxed

Structure (POSCAR):
```
AsC2
1.0
-2.422 1.648 1.145
-0.449 -2.894 3.214
3.741 1.375 1.760
As C
1 2
direct
0.382 0.500 0.535 As
0.256 0.143 0.274 C
0.256 0.857 0.274 C
```

Output
The calculation puts the energy of formation from the pure elements at 1225 meV/atom. Its density of states at the Fermi level is 0.25 states/eV/atom. Its crystal system is monoclinic.

---

10.
Compound: Cs3Tl4Pd2
Source: Alexandria via LeMat-Bulk
Functional: PBE-GGA
Structure: relaxed

Structure (POSCAR):
```
Cs3Tl4Pd2
1.0
-0.351 2.516 -4.021
-4.764 -5.898 -0.462
-4.983 7.803 5.317
Cs Tl Pd
3 4 2
direct
0.380 0.760 0.622 Cs
0.000 0.000 0.000 Cs
0.620 0.240 0.378 Cs
0.723 0.445 0.082 Tl
0.096 0.192 0.656 Tl
0.904 0.808 0.344 Tl
0.277 0.555 0.918 Tl
0.329 0.659 0.207 Pd
0.671 0.341 0.793 Pd
```

Output
The calculation puts the energy of formation from the pure elements at -94 meV/atom. Its density of states at the Fermi level is 0.58 states/eV/atom. Its crystal system is monoclinic.

---

11.
Compound: KScSn2I8
Source: Alexandria via LeMat-Bulk
Functional: PBE-GGA
Structure: relaxed

Structure (POSCAR):
```
KScSn2I8
1.0
7.665 0.079 -0.003
0.121 7.194 -0.004
0.009 0.017 9.505
K Sc Sn I
1 1 2 8
direct
0.000 0.000 0.500 K
0.000 0.000 0.000 Sc
0.500 0.500 0.755 Sn
0.500 0.500 0.245 Sn
0.152 0.758 0.215 I
0.684 0.771 0.000 I
0.848 0.241 0.214 I
0.848 0.242 0.785 I
0.316 0.229 0.000 I
0.152 0.759 0.786 I
0.635 0.728 0.500 I
0.365 0.272 0.500 I
```

Output
Its density of states at the Fermi level is 0.00 states/eV/atom. For the energy relative to the elements, uncorrected, the calculation gives -0.86 eV per atom. Its crystal system is triclinic.

---

12.
Compound: PrEr2Lu
Source: Alexandria via LeMat-Bulk
Functional: PBE-GGA
Structure: relaxed

Structure (POSCAR):
```
PrEr2Lu
1.0
5.652 0.000 0.000
2.826 4.895 0.000
2.826 1.632 4.615
Pr Lu Er
1 1 2
direct
0.500 0.500 0.500 Pr
0.000 0.000 0.000 Lu
0.250 0.250 0.250 Er
0.750 0.750 0.750 Er
```

Output
The calculation puts the energy of formation from the pure elements at 135 meV/atom. Its density of states at the Fermi level is 1.86 states/eV/atom. Its crystal system is cubic.

---

13.
Compound: Sc2AgPdSe
Source: Alexandria via LeMat-Bulk
Functional: PBE-GGA
Structure: relaxed

Structure (POSCAR):
```
Sc2AgPdSe
1.0
-0.964 2.897 -3.911
-4.181 -2.237 -0.626
-2.208 3.292 2.983
Sc Se Pd Ag
2 1 1 1
direct
0.000 0.000 0.500 Sc
0.500 0.000 0.000 Sc
0.000 0.000 0.000 Se
0.500 0.500 0.500 Pd
0.000 0.500 0.000 Ag
```

Output
Its density of states at the Fermi level is 1.25 states/eV/atom. For the energy relative to the elements, uncorrected, the calculation gives -0.13 eV per atom. Its crystal system is tetragonal.

---

14.
Compound: Rb2AlBF6
Source: Alexandria via LeMat-Bulk
Functional: PBE-GGA
Structure: relaxed

Structure (POSCAR):
```
Rb2AlBF6
1.0
5.961 0.000 0.000
0.000 5.961 0.000
2.981 2.981 4.230
B Al Rb F
1 1 2 6
direct
0.500 0.500 0.000 B
0.000 0.000 0.000 Al
0.750 0.250 0.500 Rb
0.250 0.750 0.500 Rb
0.219 0.219 0.563 F
0.781 0.781 0.437 F
0.219 0.219 0.000 F
0.781 0.781 0.000 F
0.781 0.219 0.000 F
0.219 0.781 0.000 F
```

Output
Its density of states at the Fermi level is 0.00 states/eV/atom. For the energy relative to the elements, uncorrected, the calculation gives -2.42 eV per atom. Its crystal system is tetragonal.

---

15.
Compound: FeCo3
Source: Alexandria via LeMat-Bulk
Functional: PBE-GGA
Structure: relaxed

Structure (POSCAR):
```
FeCo3
1.0
-0.599 2.442 -1.269
-1.108 -1.403 -2.177
-10.193 0.146 5.092
Co Fe
6 2
direct
0.000 0.000 0.999 Co
0.500 0.500 0.127 Co
0.000 0.000 0.248 Co
0.500 0.500 0.376 Co
0.500 0.500 0.623 Co
0.000 0.000 0.752 Co
0.000 0.000 0.499 Fe
0.500 0.500 0.876 Fe
```

Output
The calculation puts the energy of formation from the pure elements at 26 meV/atom. Its density of states at the Fermi level is 1.15 states/eV/atom. Its crystal system is tetragonal.

---

16.
Compound: Dy2IrAuC
Source: Alexandria via LeMat-Bulk
Functional: PBE-GGA
Structure: relaxed

Structure (POSCAR):
```
Dy2IrAuC
1.0
-1.368 -0.985 3.482
4.685 -0.245 1.772
-0.231 4.844 1.279
Dy Ir Au C
2 1 1 1
direct
0.000 0.000 0.500 Dy
0.000 0.500 0.000 Dy
0.500 0.000 0.000 Ir
0.500 0.500 0.500 Au
0.000 0.000 0.000 C
```

Output
The calculation puts the energy of formation from the pure elements at -694 meV/atom. Its density of states at the Fermi level is 0.44 states/eV/atom. Its crystal system is tetragonal.

---

17.
Compound: TbPu2Br6
Source: Alexandria via LeMat-Bulk
Functional: PBE-GGA
Structure: relaxed

Structure (POSCAR):
```
TbPu2Br6
1.0
3.990 0.000 0.000
-1.995 7.604 -2.848
0.000 -0.155 10.316
Tb Pu Br
1 2 6
direct
0.000 0.000 0.500 Tb
0.673 0.346 0.849 Pu
0.327 0.654 0.151 Pu
0.310 0.620 0.856 Br
0.690 0.380 0.144 Br
0.975 0.950 0.211 Br
0.634 0.269 0.536 Br
0.025 0.050 0.789 Br
0.366 0.731 0.464 Br
```

Output
Its density of states at the Fermi level is 2.32 states/eV/atom. For the energy relative to the elements, uncorrected, the calculation gives -1.49 eV per atom. Its crystal system is monoclinic.

---

18.
Compound: ZnO2F6
Source: Alexandria via LeMat-Bulk
Functional: PBE-GGA
Structure: relaxed

Structure (POSCAR):
```
ZnO2F6
1.0
3.509 0.945 -0.437
1.003 8.992 -0.476
0.151 0.321 7.925
Zn O F
2 4 12
direct
0.180 0.831 0.087 Zn
0.820 0.169 0.913 Zn
0.316 0.347 0.296 O
0.359 0.738 0.651 O
0.684 0.653 0.704 O
0.641 0.262 0.349 O
0.637 0.303 0.679 F
0.116 0.321 0.650 F
0.363 0.697 0.321 F
0.884 0.679 0.350 F
0.625 0.986 0.580 F
0.708 0.440 0.000 F
0.375 0.014 0.420 F
0.292 0.560 0.000 F
0.276 0.232 0.976 F
0.031 0.948 0.844 F
0.724 0.768 0.024 F
0.969 0.052 0.156 F
```

Output
Its density of states at the Fermi level is 0.43 states/eV/atom. For the energy relative to the elements, uncorrected, the calculation gives -0.70 eV per atom. Its crystal system is triclinic.

---

19.
Compound: NaSrSm2Tl4
Source: Alexandria via LeMat-Bulk
Functional: PBE-GGA
Structure: relaxed

Structure (POSCAR):
```
NaSrSm2Tl4
1.0
-0.550 5.269 1.395
-3.457 1.428 4.003
5.399 1.308 7.946
Na Sr Sm Tl
1 1 2 4
direct
0.500 0.500 0.500 Na
0.000 0.000 0.000 Sr
0.755 0.755 0.734 Sm
0.245 0.245 0.266 Sm
0.380 0.380 0.860 Tl
0.874 0.874 0.378 Tl
0.126 0.126 0.622 Tl
0.620 0.620 0.140 Tl
```

Output
The calculation puts the energy of formation from the pure elements at -294 meV/atom. Its density of states at the Fermi level is 0.68 states/eV/atom. Its crystal system is trigonal.

---

20.
Compound: KNa2Si2
Source: Alexandria via LeMat-Bulk
Functional: PBE-GGA
Structure: relaxed

Structure (POSCAR):
```
KNa2Si2
1.0
-3.712 0.230 -1.249
-1.674 -3.851 4.268
1.113 5.398 3.846
K Na Si
1 2 2
direct
0.000 0.000 0.000 K
0.347 0.437 0.693 Na
0.653 0.563 0.307 Na
0.727 0.091 0.453 Si
0.273 0.909 0.547 Si
```

Output
Its density of states at the Fermi level is 0.62 states/eV/atom. For the energy relative to the elements, uncorrected, the calculation gives 0.04 eV per atom. Its crystal system is monoclinic.